(1)
Density functional theory data (PBE-GGA) for GdDySiNi after structural relaxation.

uncorrected energy	-7.934	eV per atom
E_form (uncorrected)	-0.462	eV/atom
total moment	7.082	μB/cell

abc: 4.9092 4.9092 4.9092
angles: 60.00 60.00 60.00
Last column: nearest neighbours and their distance in Å.
Atoms (fractional coordinates):
Si 0.7500 0.7500 0.7500  4 Gd 3.01, 4 Dy 3.01
Ni 0.2500 0.2500 0.2500  4 Gd 3.01, 4 Dy 3.01
Gd 0.5000 0.5000 0.5000  4 Ni 3.01, 4 Si 3.01
Dy 0.0000 0.0000 0.0000  4 Si 3.01, 4 Ni 3.01

***

(2)
Density functional theory data (PBE-GGA) for NaGa3 after structural relaxation.

uncorrected energy	-2.606	eV per atom
total moment	0.000	μB/cell
E_form	-0.0059	eV/atom

abc: 3.3034 4.4990 5.6052
angles: 90.00 90.00 90.00
Last column: nearest neighbours and their distance in Å.
Atoms (fractional coordinates):
Ga 0.5000 0.5000 0.8211  6 Ga 2.74-2.93
Ga 0.0000 0.0000 0.9777  6 Ga 2.93-2.95, 2 Na 2.98
Na 0.0000 0.5000 0.3256  10 Ga 2.98-3.27, 2 Na 3.30
Ga 0.5000 0.0000 0.5422  4 Ga 2.74-2.95, 4 Na 3.04

***

(3)
Density functional theory data (PBE-GGA) for AcMgSe2O8 after structural relaxation.

uncorrected energy	-5.925	eV per atom
E_form (uncorrected)	-1.563	eV/atom
total moment	0.000	μB/cell

abc: 5.5618 5.5618 7.1991
angles: 90.00 90.00 120.00
Last column: nearest neighbours and their distance in Å.
Atoms (fractional coordinates):
O 0.1568 0.3137 0.8002  1 Se 1.74
O 0.6667 0.3333 0.4881  1 Se 1.70
Se 0.6667 0.3333 0.2525  4 O 1.70-1.74
O 0.3333 0.6667 0.5119  1 Se 1.70
O 0.3137 0.1568 0.1998  1 Se 1.74
O 0.1568 0.8432 0.8002  1 Se 1.74
Ac 0.0000 0.0000 0.5000  6 O 2.64
Mg 0.0000 0.0000 0.0000  6 O 2.09
O 0.6863 0.8432 0.8002  1 Se 1.74
Se 0.3333 0.6667 0.7475  4 O 1.70-1.74
O 0.8432 0.6863 0.1998  1 Se 1.74
O 0.8432 0.1568 0.1998  1 Se 1.74

***

(4)
Density functional theory data (PBE-GGA) for HoTh2Cd after structural relaxation.

uncorrected energy	-4.992	eV per atom
total moment	0.000	μB/cell
E_form	0.0912	eV/atom

abc: 5.5156 5.5156 5.5156
angles: 60.00 60.00 60.00
Last column: nearest neighbours and their distance in Å.
Atoms (fractional coordinates):
Cd 0.5000 0.5000 0.5000  8 Th 3.38
Th 0.2500 0.2500 0.2500  4 Cd 3.38, 4 Ho 3.38
Ho 0.0000 0.0000 0.0000  8 Th 3.38
Th 0.7500 0.7500 0.7500  4 Ho 3.38, 4 Cd 3.38

***

(5)
Density functional theory data (PBE-GGA) for EuTe after structural relaxation.

uncorrected energy	-8.394	eV per atom
E_form (uncorrected)	-1.686	eV/atom
total moment	7.001	μB/cell

abc: 4.6273 4.6273 4.6273
angles: 60.00 60.00 60.00
Last column: nearest neighbours and their distance in Å.
Atoms (fractional coordinates):
Te 0.5000 0.5000 0.5000  6 Eu 3.27
Eu 0.0000 0.0000 0.0000  6 Te 3.27

***

(6)
Density functional theory data (PBE-GGA) for Pm2Ga12Pt after structural relaxation.

uncorrected energy	-3.906	eV per atom
total moment	0.000	μB/cell
E_form	-0.4487	eV/atom

abc: 6.1649 6.1649 15.4508
angles: 90.00 90.00 90.00
Last column: nearest neighbours and their distance in Å.
Atoms (fractional coordinates):
Ga 0.5000 0.5000 0.8119  5 Ga 2.46-2.66
Ga 0.6671 0.1671 0.4314  3 Ga 2.57-2.64
Ga 0.1671 0.6671 0.5686  3 Ga 2.57-2.64
Pm 0.5000 0.0000 0.2431  14 Ga 3.20-3.48
Ga 0.7498 0.2498 0.9102  2 Pt 2.58-2.59, 3 Ga 2.66-2.78
Pt 0.0000 0.5000 0.0000  8 Ga 2.58-2.59
Ga 0.5000 0.5000 0.6528  5 Ga 2.46-2.64
Ga 0.5000 0.5000 0.3472  5 Ga 2.46-2.64
Ga 0.6671 0.8329 0.5686  3 Ga 2.57-2.64
Ga 0.8329 0.6671 0.4314  3 Ga 2.57-2.64
Ga 0.0000 0.0000 0.6528  5 Ga 2.46-2.64
Ga 0.3329 0.1671 0.5686  3 Ga 2.57-2.64
Ga 0.3329 0.8329 0.4314  3 Ga 2.57-2.64
Ga 0.2502 0.7502 0.9102  2 Pt 2.58-2.59, 3 Ga 2.66-2.78
Ga 0.0000 0.0000 0.3472  5 Ga 2.46-2.64
Ga 0.1671 0.3329 0.4314  3 Ga 2.57-2.64
Ga 0.7498 0.7502 0.0898  2 Pt 2.58-2.59, 3 Ga 2.66-2.78
Ga 0.2498 0.7498 0.0898  2 Pt 2.58-2.59, 3 Ga 2.66-2.78
Ga 0.7502 0.7498 0.9102  2 Pt 2.58-2.59, 3 Ga 2.66-2.78
Ga 0.7502 0.2502 0.0898  2 Pt 2.58-2.59, 3 Ga 2.66-2.78
Pm 0.5000 0.0000 0.7569  14 Ga 3.20-3.48
Ga 0.0000 0.0000 0.8119  5 Ga 2.46-2.66
Pm 0.0000 0.5000 0.7569  14 Ga 3.20-3.48
Ga 0.5000 0.5000 0.1881  5 Ga 2.46-2.66
Pt 0.5000 0.0000 0.0000  8 Ga 2.58-2.59
Ga 0.8329 0.3329 0.5686  3 Ga 2.57-2.64
Ga 0.2498 0.2502 0.9102  2 Pt 2.58-2.59, 3 Ga 2.66-2.78
Ga 0.2502 0.2498 0.0898  2 Pt 2.58-2.59, 3 Ga 2.66-2.78
Pm 0.0000 0.5000 0.2431  14 Ga 3.20-3.48
Ga 0.0000 0.0000 0.1881  5 Ga 2.46-2.66

***

What is the formula in the second record? NaGa3

***

The lowest uncorrected energy belongs to which entry? EuTe

***

Which formula does entry 6 have? Pm2Ga12Pt